Material: Sc2VCo2
Method: DFT, GGA-PBE
State: relaxed

* energy above the lowest structure with this stoichiometry: 0.00 kJ per mole of atoms
* symmetry: C2/c, No. 15
* spin magnetization: 0.0 μB/f.u.

a b c (Å): 5.1811 5.1811 6.9968
angles (deg): 100.48 100.48 60.26
Sites, in units of the cell vectors:
1 Sc 0.0158 0.2788 0.1476
2 Sc 0.2788 0.0158 0.6476
3 Sc 0.7212 0.9842 0.3524
4 Sc 0.9842 0.7212 0.8524
5 V 0.3831 0.6169 0.2500
6 V 0.6169 0.3831 0.7500
7 Co 0.2248 0.5030 0.5007
8 Co 0.4970 0.7752 0.9993
9 Co 0.5030 0.2248 0.0007
10 Co 0.7752 0.4970 0.4993

---

Material: Sc2VCo
Method: DFT, GGA-PBE
State: relaxed

* energy above the lowest structure with this stoichiometry: 32.24 kJ per mole of atoms
* symmetry: I-42d, No. 122
* spin magnetization: 2.1 μB/f.u.

a b c (Å): 5.7927 5.7927 5.7927
angles (deg): 103.42 103.42 122.39
Sites, in units of the cell vectors:
1 Sc 0.0789 0.1250 0.4539
2 Sc 0.3750 0.9211 0.0461
3 Sc 0.6711 0.6250 0.5461
4 Sc 0.8750 0.3289 0.9539
5 V 0.2500 0.7500 0.5000
6 V 0.5000 0.5000 0.0000
7 Co 0.0000 0.0000 0.0000
8 Co 0.7500 0.2500 0.5000

---

Material: ScVCo2
Method: DFT, GGA-PBE
State: relaxed

* symmetry: I-42d, No. 122
* spin magnetization: 0.0 μB/f.u.

a b c (Å): 5.3669 5.3669 5.3669
angles (deg): 104.55 104.55 119.83
Sites, in units of the cell vectors:
1 Sc 0.0000 0.0000 0.0000
2 Sc 0.7500 0.2500 0.5000
3 V 0.2500 0.7500 0.5000
4 V 0.5000 0.5000 0.0000
5 Co 0.1662 0.6250 0.0412
6 Co 0.3750 0.4162 0.5412
7 Co 0.5838 0.1250 0.9588
8 Co 0.8750 0.8338 0.4588

---

no.,calculated volume (Å³ per atom),formation energy from the elements (eV per atom)
1,15.9,-0.253
2,18.0,0.357
3,14.5,0.183